Record 1
Pm5Tm6Pu after structural relaxation, computed with PBE.

a = 6.1567 Å, b = 10.6684 Å, c = 11.6335 Å
α = 90.00°, β = 100.19°, γ = 90.00°
Last column: nearest neighbours and their distance in Å.
Space group C2/m (No. 12)
One atom of each set of equivalent atoms:
Pm  0.0000  0.0000  0.0000 [2 per cell]  6 Tm 3.54-3.56, 6 Pm 3.55-3.56
Pm  0.0000  0.1666  0.5000 [4 per cell]  6 Tm 3.51, 3 Pm 3.55-3.56, 3 Pu 3.55-3.56
Pm  0.0000  0.3327  0.0000 [4 per cell]  6 Tm 3.54-3.56, 6 Pm 3.55-3.57
Tm  0.2463  0.5000  0.2525 [4 per cell]  1 Pu 3.48, 6 Tm 3.50-3.58, 5 Pm 3.51-3.56
Tm  0.2467  0.3357  0.7474 [8 per cell]  1 Pu 3.48, 6 Tm 3.50-3.58, 5 Pm 3.51-3.56
Pu  0.0000  0.5000  0.5000 [2 per cell]  6 Tm 3.48, 6 Pm 3.55-3.56

Summary:
formation energy from the elements	0.04	eV/atom


Record 2
Li5Mg2Tl2In after structural relaxation, computed with PBE.

a = 10.4186 Å, b = 10.4186 Å, c = 3.9460 Å
α = 90.00°, β = 90.00°, γ = 90.00°
Last column: nearest neighbours and their distance in Å.
Space group P4/mbm (No. 127)
One atom of each set of equivalent atoms:
Li  0.0000  0.5000  0.0000 [2 per cell]  4 Tl 2.75
Li  0.0686  0.1918  0.0000 [8 per cell]  2 Tl 2.78, 2 In 2.90, 2 Li 3.00
Mg  0.1689  0.6689  0.5000 [4 per cell]  3 Tl 2.96-3.14, 2 Li 3.18
Tl  0.1303  0.3697  0.5000 [4 per cell]  6 Li 2.75-2.78, 1 Mg 2.96
In  0.0000  0.0000  0.5000 [2 per cell]  8 Li 2.90

Summary:
formation energy from the elements	-0.12	eV/atom


Record 3
Tm5Ag4Pb after structural relaxation, computed with PBE.

a = 3.5409 Å, b = 3.5409 Å, c = 19.1033 Å
α = 90.00°, β = 90.00°, γ = 90.00°
Last column: nearest neighbours and their distance in Å.
Space group P4/mmm (No. 123)
One atom of each set of equivalent atoms:
Tm  0.0000  0.0000  0.0000 [1 per cell]  8 Ag 3.11
Tm  0.0000  0.0000  0.1918 [2 per cell]  8 Ag 3.09-3.10
Tm  0.0000  0.0000  0.3843 [2 per cell]  4 Ag 3.12, 4 Pb 3.34
Ag  0.5000  0.5000  0.0967 [2 per cell]  8 Tm 3.09-3.11
Ag  0.5000  0.5000  0.2871 [2 per cell]  8 Tm 3.10-3.12
Pb  0.5000  0.5000  0.5000 [1 per cell]  8 Tm 3.34, 4 Pb 3.54

Summary:
formation energy from the elements	-0.34	eV/atom